(1)
A plane-wave DFT calculation with GGA-PBE was carried out for La2MgGa4Au3 after structural relaxation.

It has space group P-4m2 (No. 115), with a = 4.3890 Å, b = 4.3890 Å, c = 11.2202 Å, α = 90.00°, β = 90.00° and γ = 90.00°. Symmetry generates all atoms from La at (0.0000, 0.5000, 0.2443), Mg at (0.0000, 0.0000, 0.5000), Ga at (0.0000, 0.0000, 0.0000), Ga at (0.0000, 0.5000, 0.6421), Ga at (0.5000, 0.5000, 0.0000), Au at (0.0000, 0.5000, 0.8695) and Au at (0.5000, 0.5000, 0.5000).

Its energy relative to the elements is -635 kJ/mol of formula units.

=====

(2)
A plane-wave DFT calculation with GGA-PBE was carried out for LaGaMo2Au after structural relaxation.

It has space group P4/mmm (No. 123), with a = 4.8347 Å, b = 4.8347 Å, c = 4.7564 Å, α = 90.00°, β = 90.00° and γ = 90.00°. Symmetry generates all atoms from La at (0.0000, 0.0000, 0.0000), Ga at (0.5000, 0.5000, 0.5000), Mo at (0.0000, 0.5000, 0.5000) and Au at (0.5000, 0.5000, 0.0000).

Its energy relative to the elements is 344 kJ/mol of formula units.

=====

(3)
A plane-wave DFT calculation with GGA-PBE was carried out for La4GaAuN after structural relaxation.

It has space group Cmcm (No. 63), with a = 7.1972 Å, b = 15.1597 Å, c = 7.1781 Å, α = 90.00°, β = 90.00° and γ = 90.00°. Symmetry generates all atoms from La at (0.0000, 0.0731, 0.2500), La at (0.0000, 0.4212, 0.2500), La at (0.2500, 0.2500, 0.0000), Ga at (0.0000, 0.3761, 0.7500), Au at (0.0000, 0.1195, 0.7500) and N at (0.0000, 0.2575, 0.2500).

The raw formation energy is -763.7 meV/atom.

=====

(4)
A plane-wave DFT calculation with GGA-PBE was carried out for NaLaGa2Au5 after structural relaxation.

It has space group P4/mmm (No. 123), with a = 4.7650 Å, b = 4.7650 Å, c = 8.7041 Å, α = 90.00°, β = 90.00° and γ = 90.00°. Symmetry generates all atoms from Na at (0.0000, 0.0000, 0.0000), La at (0.0000, 0.0000, 0.5000), Ga at (0.5000, 0.5000, 0.1477), Au at (0.0000, 0.5000, 0.2674) and Au at (0.5000, 0.5000, 0.5000).

Its energy relative to the elements is -375 kJ/mol of formula units.

=====

(5)
A plane-wave DFT calculation with GGA-PBE was carried out for LaNdGaAu after structural relaxation.

It has space group F-43m (No. 216), with a = 7.5232 Å, b = 7.5232 Å, c = 7.5232 Å, α = 90.00°, β = 90.00° and γ = 90.00°. Symmetry generates all atoms from La at (0.0000, 0.0000, 0.0000), Nd at (0.0000, 0.0000, 0.5000), Ga at (0.2500, 0.2500, 0.2500) and Au at (0.2500, 0.2500, 0.7500).

Its energy relative to the elements is -243 kJ/mol of formula units.

=====

(6)
A plane-wave DFT calculation with GGA-PBE was carried out for La2GaNiAu after structural relaxation.

It has space group P4/mmm (No. 123), with a = 5.4061 Å, b = 5.4061 Å, c = 4.4746 Å, α = 90.00°, β = 90.00° and γ = 90.00°. Symmetry generates all atoms from La at (0.0000, 0.5000, 0.0000), Ga at (0.0000, 0.0000, 0.5000), Ni at (0.0000, 0.0000, 0.0000) and Au at (0.5000, 0.5000, 0.5000).

Its energy relative to the elements is -223 kJ/mol of formula units.

=====

(7)
A plane-wave DFT calculation with GGA-PBE was carried out for La2Ga4NiAu3 after structural relaxation.

It has space group P-4m2 (No. 115), with a = 4.4272 Å, b = 4.4272 Å, c = 10.5308 Å, α = 90.00°, β = 90.00° and γ = 90.00°. Symmetry generates all atoms from La at (0.0000, 0.5000, 0.2419), Ga at (0.0000, 0.0000, 0.5000), Ga at (0.0000, 0.5000, 0.8817), Ga at (0.5000, 0.5000, 0.5000), Ni at (0.5000, 0.5000, 0.0000), Au at (0.0000, 0.0000, 0.0000) and Au at (0.0000, 0.5000, 0.6381).

Its energy relative to the elements is -621 kJ/mol of formula units.

=====

(8)
A plane-wave DFT calculation with GGA-PBE was carried out for La2GaNiAu6 after structural relaxation.

It has space group P-1 (No. 2), with a = 5.4997 Å, b = 6.7992 Å, c = 7.1231 Å, α = 78.31°, β = 67.48° and γ = 66.31°. Symmetry generates all atoms from La at (0.2325, 0.2403, 0.2941), Ga at (0.0000, 0.0000, 0.0000), Ni at (0.5000, 0.5000, 0.5000), Au at (0.2275, 0.7722, 0.2721), Au at (0.2581, 0.5940, 0.8911) and Au at (0.2758, 0.2255, 0.7292).

Its energy relative to the elements is -449 kJ/mol of formula units.

=====

(9)
A plane-wave DFT calculation with GGA-PBE was carried out for La4GaAuO after structural relaxation.

It has space group Cmcm (No. 63), with a = 7.0712 Å, b = 15.4062 Å, c = 7.0713 Å, α = 90.00°, β = 90.00° and γ = 90.00°. Symmetry generates all atoms from La at (0.0000, 0.0672, 0.2500), La at (0.0000, 0.4307, 0.2500), La at (0.2500, 0.2500, 0.0000), Ga at (0.0000, 0.3743, 0.7500), Au at (0.0000, 0.1194, 0.7500) and O at (0.0000, 0.2518, 0.2500).

The raw formation energy is -1179.4 meV/atom.

=====

(10)
A plane-wave DFT calculation with GGA-PBE was carried out for LaGa3PdAu after structural relaxation.

It has space group Cmcm (No. 63), with a = 6.6065 Å, b = 13.2771 Å, c = 6.2088 Å, α = 90.00°, β = 90.00° and γ = 90.00°. Symmetry generates all atoms from La at (0.0000, 0.2185, 0.2500), Ga at (0.0000, 0.1953, 0.7500), Ga at (0.2038, 0.5000, 0.0000), Pd at (0.0000, 0.0149, 0.7500) and Au at (0.0000, 0.3775, 0.7500).

Its energy relative to the elements is -249 kJ/mol of formula units.

=====

(11)
A plane-wave DFT calculation with GGA-PBE was carried out for LaGaPdAu after structural relaxation.

It has space group F-43m (No. 216), with a = 6.9992 Å, b = 6.9992 Å, c = 6.9992 Å, α = 90.00°, β = 90.00° and γ = 90.00°. Symmetry generates all atoms from La at (0.0000, 0.0000, 0.0000), Ga at (0.0000, 0.0000, 0.5000), Pd at (0.2500, 0.2500, 0.2500) and Au at (0.2500, 0.2500, 0.7500).

Its energy relative to the elements is -239 kJ/mol of formula units.

=====

(12)
A plane-wave DFT calculation with GGA-PBE was carried out for La3Ga2Pd9Au after structural relaxation.

It has space group P-3m1 (No. 164), with a = 7.7034 Å, b = 7.7034 Å, c = 6.4214 Å, α = 90.00°, β = 90.00° and γ = 120.00°. Symmetry generates all atoms from La at (0.0000, 0.0000, 0.0000), La at (0.3333, 0.6667, 0.6522), Ga at (0.3333, 0.6667, 0.1452), Pd at (0.0000, 0.5000, 0.0000), Pd at (0.1772, 0.3545, 0.3313) and Au at (0.0000, 0.0000, 0.5000).

Its energy relative to the elements is -659 kJ/mol of formula units.

=====

(13)
A plane-wave DFT calculation with GGA-PBE was carried out for La2GaPdAu after structural relaxation.

It has space group P4/mmm (No. 123), with a = 5.5535 Å, b = 5.5535 Å, c = 5.1567 Å, α = 90.00°, β = 90.00° and γ = 90.00°. Symmetry generates all atoms from La at (0.0000, 0.5000, 0.0000), Ga at (0.0000, 0.0000, 0.5000), Pd at (0.5000, 0.5000, 0.0000) and Au at (0.5000, 0.5000, 0.5000).

Its energy relative to the elements is -113 kJ/mol of formula units.

=====

(14)
A plane-wave DFT calculation with GGA-PBE was carried out for La3Ga2Pd6Au after structural relaxation.

It has space group P-3m1 (No. 164), with a = 5.7094 Å, b = 5.7094 Å, c = 9.0311 Å, α = 90.00°, β = 90.00° and γ = 120.00°. Symmetry generates all atoms from La at (0.0000, 0.0000, 0.0000), La at (0.3333, 0.6667, 0.6220), Ga at (0.3333, 0.6667, 0.0190), Pd at (0.1730, 0.3460, 0.2613) and Au at (0.0000, 0.0000, 0.5000).

Its energy relative to the elements is -803 kJ/mol of formula units.

=====

(15)
A plane-wave DFT calculation with GGA-PBE was carried out for La2Ga3PdAu12 after structural relaxation.

It has space group R-3m (No. 166, hexagonal axes), with a = 8.6367 Å, b = 8.6367 Å, c = 19.9385 Å, α = 90.00°, β = 90.00° and γ = 120.00°. Symmetry generates all atoms from La at (0.0000, 0.0000, 0.1192), Ga at (0.0000, 0.5000, 0.0000), Pd at (0.0000, 0.0000, 0.5000), Au at (0.0064, 0.5032, 0.8718) and Au at (0.0089, 0.5045, 0.3712).

Its energy relative to the elements is -219 kJ/mol of formula units.

=====

(16)
A plane-wave DFT calculation with GGA-PBE was carried out for La3Pr3GaAu2 after structural relaxation.

It has space group P-62m (No. 189), with a = 8.1315 Å, b = 8.1315 Å, c = 4.7534 Å, α = 90.00°, β = 90.00° and γ = 120.00°. Symmetry generates all atoms from La at (0.0000, 0.7282, 0.0000), Pr at (0.0000, 0.3965, 0.5000), Ga at (0.0000, 0.0000, 0.5000) and Au at (0.3333, 0.6667, 0.0000).

Its energy relative to the elements is -401 kJ/mol of formula units.

=====

(17)
A plane-wave DFT calculation with GGA-PBE was carried out for La2Ga4PtAu3 after structural relaxation.

It has space group P-4m2 (No. 115), with a = 4.4947 Å, b = 4.4947 Å, c = 10.4050 Å, α = 90.00°, β = 90.00° and γ = 90.00°. Symmetry generates all atoms from La at (0.0000, 0.5000, 0.2470), Ga at (0.0000, 0.0000, 0.5000), Ga at (0.0000, 0.5000, 0.8772), Ga at (0.5000, 0.5000, 0.5000), Pt at (0.5000, 0.5000, 0.0000), Au at (0.0000, 0.0000, 0.0000) and Au at (0.0000, 0.5000, 0.6334).

Its energy relative to the elements is -726 kJ/mol of formula units.

=====

(18)
A plane-wave DFT calculation with GGA-PBE was carried out for La2Ga3Pt4Au after structural relaxation.

It has space group P-4m2 (No. 115), with a = 4.1530 Å, b = 4.1530 Å, c = 11.6963 Å, α = 90.00°, β = 90.00° and γ = 90.00°. Symmetry generates all atoms from La at (0.0000, 0.5000, 0.2434), Ga at (0.0000, 0.0000, 0.0000), Ga at (0.0000, 0.5000, 0.6257), Pt at (0.0000, 0.0000, 0.5000), Pt at (0.0000, 0.5000, 0.8389), Pt at (0.5000, 0.5000, 0.5000) and Au at (0.5000, 0.5000, 0.0000).

Its energy relative to the elements is -888 kJ/mol of formula units.

=====

(19)
A plane-wave DFT calculation with GGA-PBE was carried out for LaGa5Pt2Au after structural relaxation.

It has space group P4/mmm (No. 123), with a = 4.4068 Å, b = 4.4068 Å, c = 10.1706 Å, α = 90.00°, β = 90.00° and γ = 90.00°. Symmetry generates all atoms from La at (0.0000, 0.0000, 0.0000), Ga at (0.0000, 0.5000, 0.3457), Ga at (0.5000, 0.5000, 0.0000), Pt at (0.5000, 0.5000, 0.2306) and Au at (0.0000, 0.0000, 0.5000).

Its energy relative to the elements is -409 kJ/mol of formula units.

=====

(20)
A plane-wave DFT calculation with GGA-PBE was carried out for La2Ga3Pt12Au after structural relaxation.

It has space group R-3m (No. 166, hexagonal axes), with a = 8.2620 Å, b = 8.2620 Å, c = 19.0217 Å, α = 90.00°, β = 90.00° and γ = 120.00°. Symmetry generates all atoms from La at (0.0000, 0.0000, 0.1150), Ga at (0.0000, 0.5000, 0.0000), Pt at (0.0147, 0.5073, 0.3757), Pt at (0.0192, 0.5096, 0.8707) and Au at (0.0000, 0.0000, 0.5000).

Its energy relative to the elements is -573 kJ/mol of formula units.

=====

(21)
A plane-wave DFT calculation with GGA-PBE was carried out for La2Ga4Pt3Au after structural relaxation.

It has space group P-4m2 (No. 115), with a = 4.3873 Å, b = 4.3873 Å, c = 10.5218 Å, α = 90.00°, β = 90.00° and γ = 90.00°. Symmetry generates all atoms from La at (0.0000, 0.5000, 0.2412), Ga at (0.0000, 0.0000, 0.0000), Ga at (0.0000, 0.5000, 0.6334), Ga at (0.5000, 0.5000, 0.0000), Pt at (0.0000, 0.5000, 0.8711), Pt at (0.5000, 0.5000, 0.5000) and Au at (0.0000, 0.0000, 0.5000).

Its energy relative to the elements is -890 kJ/mol of formula units.

=====

(22)
A plane-wave DFT calculation with GGA-PBE was carried out for LaGa2PtAu2 after structural relaxation.

It has space group P4/mmm (No. 123), with a = 4.8654 Å, b = 4.8654 Å, c = 5.7354 Å, α = 90.00°, β = 90.00° and γ = 90.00°. Symmetry generates all atoms from La at (0.0000, 0.0000, 0.0000), Ga at (0.0000, 0.5000, 0.5000), Pt at (0.0000, 0.0000, 0.5000) and Au at (0.5000, 0.5000, 0.2357).

Its energy relative to the elements is -309 kJ/mol of formula units.

=====

(23)
A plane-wave DFT calculation with GGA-PBE was carried out for LaPuGaAu after structural relaxation.

It has space group F-43m (No. 216), with a = 7.4352 Å, b = 7.4352 Å, c = 7.4352 Å, α = 90.00°, β = 90.00° and γ = 90.00°. Symmetry generates all atoms from La at (0.0000, 0.0000, 0.0000), Pu at (0.0000, 0.0000, 0.5000), Ga at (0.2500, 0.2500, 0.2500) and Au at (0.2500, 0.2500, 0.7500).

Its energy relative to the elements is -172 kJ/mol of formula units.